This record from Alexandria via LeMat-Bulk describes a relaxed structure of Ac2BeFePt6. The functional is PBE-GGA. Values from VASP.

## Properties
The calculation puts the density of states at the Fermi level at 4.3 states/eV per cell. For the size of the total moment, the calculation gives 0.354 μB/atom. For the formation energy, the calculation gives -743 meV per atom. The value obtained for the total DFT energy (no corrections) is -6.41 eV per atom.

Structure (Quantum ESPRESSO input):
```
&SYSTEM
  ibrav = 0, nat = 10, ntyp = 4
/
ATOMIC_SPECIES
Ac 227.00 Ac.upf
Pt 195.08 Pt.upf
Be 9.01 Be.upf
Fe 55.84 Fe.upf
CELL_PARAMETERS angstrom
-4.036 2.163 4.625
-0.273 -6.484 2.017
1.985 -2.957 5.791
ATOMIC_POSITIONS crystal
Ac 0.287 0.744 0.457
Ac 0.713 0.256 0.543
Pt 0.131 0.254 0.124
Pt 0.750 0.263 0.008
Pt 0.250 0.737 0.992
Pt 0.869 0.746 0.876
Pt 0.750 0.757 0.514
Pt 0.250 0.243 0.486
Be 0.500 0.500 0.000
Fe 0.000 0.000 0.000
```